The following is a DFT calculation (PBE) of an optimized crystal structure of AsPtSe2F.

Unit cell a=5.0845 b=5.0845 c=4.7834 alpha=90.00 beta=90.00 gamma=90.00
Last column: magnetic moment on the atom in μB.
Fractional positions:
As1 0.0000 0.0000 0.5000  0.10
Se1 0.0000 0.5000 0.0000  0.49
Se2 0.5000 0.0000 0.0000  0.49
Pt1 0.0000 0.0000 0.0000  0.19
F1 0.5000 0.5000 0.5000  0.29

Calculated values
E above lowest polymorph = 0.00 eV per formula unit
size of the total moment = 0.45 μB per atom
raw formation energy = 410 meV/atom
space group = No. 123